The following is a DFT calculation (GGA-PBE) of crystalline CrP at its relaxed geometry.

Lattice parameters (Å, degrees): 3.744 2.874 4.531 90.00 101.64 90.00
Sites, in units of the cell vectors:
Cr: 0.193 0.250 0.280
Cr: 0.807 0.750 0.720
P: 0.324 0.250 0.803
P: 0.676 0.750 0.197

## Properties
DFT total energy	-7.766	eV/atom
space group	No. 11
magnetization	0.00	μB/f.u.

The following is a DFT calculation (GGA-PBE) of crystalline Tm5Pt2 at its relaxed geometry.

Lattice parameters (Å, degrees): 8.640 8.640 6.987 96.16 96.16 44.32
Sites, in units of the cell vectors:
Tm: 0.063 0.937 0.750
Tm: 0.155 0.286 0.310
Tm: 0.286 0.155 0.810
Tm: 0.289 0.523 0.073
Tm: 0.477 0.711 0.427
Tm: 0.523 0.289 0.573
Tm: 0.711 0.477 0.927
Tm: 0.714 0.845 0.190
Tm: 0.845 0.714 0.690
Tm: 0.937 0.063 0.250
Pt: 0.101 0.677 0.431
Pt: 0.323 0.899 0.069
Pt: 0.677 0.101 0.931
Pt: 0.899 0.323 0.569

## Properties
space group	No. 15
excess energy over the best structure of this formula in the dataset	0.0000	eV/atom
magnetization	0.00	μB/f.u.

The following is a DFT calculation (GGA-PBE) of crystalline FeTc2W at its relaxed geometry.

Lattice parameters (Å, degrees): 4.296 4.296 3.129 90.00 90.00 90.00
Sites, in units of the cell vectors:
Fe: 0.000 0.000 0.000
Tc: 0.000 0.500 0.500
Tc: 0.500 0.000 0.500
W: 0.500 0.500 0.000

## Properties
DFT total energy	-10.478	eV/atom
space group	No. 123
magnetization	3.06	μB/f.u.

The following is a DFT calculation (GGA-PBE) of crystalline CaRhBr at its relaxed geometry.

Lattice parameters (Å, degrees): 3.695 3.695 11.076 90.04 90.04 90.00
Sites, in units of the cell vectors:
Ca: 0.000 0.000 0.000
Ca: 0.501 0.501 0.434
Rh: 0.001 0.502 0.217
Rh: 0.502 0.001 0.217
Br: 0.001 0.001 0.563
Br: 0.500 0.500 0.871

## Properties
space group	No. 8
excess energy over the best structure of this formula in the dataset	0.0289	eV/atom
magnetization	0.35	μB/f.u.
formation energy (no corrections)	-982	meV per atom

The following is a DFT calculation (GGA-PBE) of crystalline CaAlCd2In at its relaxed geometry.

Lattice parameters (Å, degrees): 5.376 5.376 5.938 90.00 90.00 90.00
Sites, in units of the cell vectors:
Ca: 0.000 0.000 0.000
Al: 0.500 0.500 0.000
Cd: 0.000 0.500 0.500
Cd: 0.500 0.000 0.500
In: 0.000 0.000 0.500

## Properties
DFT total energy	-1.631	eV/atom
space group	No. 123
magnetization	0.00	μB/f.u.

The following is a DFT calculation (GGA-PBE) of crystalline BeFe2H at its relaxed geometry.

Lattice parameters (Å, degrees): 2.421 2.421 5.701 90.00 90.00 90.00
Sites, in units of the cell vectors:
Be: 0.000 0.000 0.000
Fe: 0.500 0.500 0.289
Fe: 0.500 0.500 0.711
H: 0.000 0.000 0.500

## Properties
space group	No. 123
excess energy over the best structure of this formula in the dataset	0.1696	eV/atom
magnetization	4.15	μB/f.u.

The following is a DFT calculation (GGA-PBE) of crystalline YCd2Br at its relaxed geometry.

Lattice parameters (Å, degrees): 3.548 3.548 9.376 90.00 90.00 112.07
Sites, in units of the cell vectors:
Y: 0.000 0.000 0.000
Cd: 0.500 0.500 0.262
Cd: 0.500 0.500 0.738
Br: 0.000 0.000 0.500

## Properties
space group	No. 65
excess energy over the best structure of this formula in the dataset	0.2444	eV/atom
magnetization	0.00	μB/f.u.
formation energy (no corrections)	-285	meV per atom

The following is a DFT calculation (GGA-PBE) of crystalline MgTcMo at its relaxed geometry.

Lattice parameters (Å, degrees): 4.771 4.771 4.771 147.47 124.43 65.89
Sites, in units of the cell vectors:
Mg: 0.000 0.000 0.000
Tc: 0.337 0.337 0.000
Mo: 0.664 0.664 0.000

## Properties
space group	No. 44
excess energy over the best structure of this formula in the dataset	0.1643	eV/atom
magnetization	0.00	μB/f.u.

What did the third record say?
The following is a DFT calculation (GGA-PBE) of crystalline FeTc2W at its relaxed geometry.

Lattice parameters (Å, degrees): 4.296 4.296 3.129 90.00 90.00 90.00
Sites, in units of the cell vectors:
Fe: 0.000 0.000 0.000
Tc: 0.000 0.500 0.500
Tc: 0.500 0.000 0.500
W: 0.500 0.500 0.000

## Properties
DFT total energy	-10.478	eV/atom
space group	No. 123
magnetization	3.06	μB/f.u.

Q: The highest magnetization belongs to which entry?
A: BeFe2H

Q: The highest magnetization belongs to which entry?
A: BeFe2H

Q: Which value of magnetization does entry 7 give?
A: 0.00 μB/f.u.